YTaC2 PBE-GGA optimized geometry; density = 8.7 g/cm3; space-group type = Pnma; energy of formation = -43.4 kJ/mol of atoms; energy above the most stable polymorph in this dataset = 34 meV per atom
1.0
3.507 0.000 0.000
0.000 5.752 0.000
0.000 0.000 11.095
Y Ta C
4 4 8
Direct
0.750 0.085 0.140
0.250 0.915 0.860
0.750 0.585 0.360
0.250 0.415 0.640
0.250 0.594 0.107
0.250 0.094 0.393
0.750 0.406 0.893
0.750 0.906 0.607
0.750 0.221 0.483
0.250 0.779 0.517
0.750 0.721 0.017
0.250 0.279 0.983
0.750 0.150 0.752
0.250 0.350 0.252
0.750 0.650 0.748
0.250 0.850 0.248


VHgBRu2 PBE-GGA optimized geometry; density = 6.5 g/cm3; space-group type = P4/mmm; energy of formation = 296.3 kJ/mol of atoms
1.0
4.968 0.000 0.000
0.000 4.779 0.000
0.000 0.000 4.968
Ru B Hg V
2 1 1 1
Direct
0.000 0.000 0.500
0.500 0.000 0.000
0.500 0.500 0.500
0.000 0.000 0.000
0.000 0.500 0.000


Sc2Zn15Pt2 PBE-GGA optimized geometry; density = 8.2 g/cm3; space-group type = R-3m; energy of formation = -26.8 kJ/mol of atoms
1.0
6.721 -0.003 -0.002
0.869 6.665 -0.002
0.869 0.763 6.621
Sc Zn Pt
2 15 2
Direct
0.330 0.330 0.330
0.670 0.670 0.670
0.500 0.000 0.000
0.000 0.000 0.500
0.000 0.500 0.000
0.000 0.709 0.291
0.709 0.291 0.000
0.291 0.000 0.709
0.291 0.709 0.000
0.709 0.000 0.291
0.000 0.291 0.709
0.158 0.642 0.642
0.642 0.642 0.158
0.642 0.158 0.642
0.842 0.358 0.358
0.358 0.358 0.842
0.358 0.842 0.358
0.114 0.114 0.114
0.886 0.886 0.886


LiNd6Al5 PBE-GGA optimized geometry; density = 5.3 g/cm3; space-group type = Cmmm; energy of formation = -29.7 kJ/mol of atoms
1.0
5.026 -0.030 1.675
0.040 7.449 0.013
0.000 -0.015 8.377
Nd Al Li
6 5 1
Direct
0.832 0.751 0.337
0.832 0.249 0.337
0.500 0.253 0.000
0.500 0.747 0.000
0.168 0.751 0.663
0.168 0.249 0.663
0.666 0.500 0.668
0.339 0.000 0.321
0.000 0.500 0.000
0.661 0.000 0.679
0.334 0.500 0.332
0.000 0.000 0.000


Ce2PrSi PBE-GGA optimized geometry; density = 6.7 g/cm3; space-group type = P4/mmm; energy above the most stable polymorph in this dataset = 57 meV per atom; raw formation energy = -1.1 eV per formula unit
1.0
-1.883 1.327 -3.078
-3.023 -2.197 0.902
-2.816 5.569 4.124
Pr Si Ce
1 1 2
Direct
0.500 0.500 0.500
0.500 0.500 0.000
0.000 0.000 0.818
0.000 0.000 0.182


Li2LaTl2Cd2 PBE-GGA optimized geometry; density = 7.7 g/cm3; space-group type = C2/m; energy of formation = -26.7 kJ/mol of atoms
1.0
4.950 0.000 0.000
-2.475 4.221 -0.449
0.000 -2.233 8.350
Li La Tl Cd
2 1 2 2
Direct
0.149 0.298 0.432
0.851 0.702 0.568
0.000 0.000 0.000
0.739 0.477 0.206
0.261 0.523 0.794
0.557 0.115 0.686
0.443 0.885 0.314